[1]
Density functional theory data (PBE) for an optimized crystal structure of LiCa4Ga2Ag.

Unit cell a=5.2623 b=5.2623 c=9.1377 alpha=73.26 beta=73.26 gamma=60.00
Fractional positions:
Ag: 0.5000 0.5000 0.5000
Ca: 0.1279 0.1279 0.6164
Ca: 0.8721 0.8721 0.3836
Ca: 0.6217 0.6217 0.1348
Ca: 0.3783 0.3783 0.8652
Ga: 0.2547 0.2547 0.2360
Li: 0.0000 0.0000 0.0000
Ga: 0.7453 0.7453 0.7640

As for the density of states at the Fermi level: 6.7 states/eV/f.u. The energy of formation from the pure elements comes out at -323 meV/atom.


[2]
Density functional theory data (PBE) for an optimized crystal structure of FeCu2Hg.

Unit cell a=2.8482 b=3.4668 c=5.8772 alpha=90.00 beta=90.00 gamma=90.00
Fractional positions:
Hg: 0.5000 0.5000 0.7500
Fe: 0.5000 0.5000 0.2500
Cu: 0.0000 0.0000 0.0362
Cu: 0.0000 0.0000 0.4638

The calculation puts the energy above the most stable polymorph in this dataset at 0.00 eV per formula unit. As for the density of states at the Fermi level: 2.3 states/eV/f.u. The energy of formation from the pure elements comes out at 262 meV/atom.